(1)
The following is a DFT calculation (PBE) of crystalline Mg2HgTe3 at its relaxed geometry.

* total magnetization: 0.0 μB/f.u.
* E_form (uncorrected): -0.631 eV/atom
* crystal system: monoclinic
* DFT total energy: -16.7 eV per formula unit

Unit cell a=8.0243 b=13.8992 c=8.0399 alpha=90.00 beta=109.65 gamma=90.00
Space group Cc (No. 9)
Asymmetric unit:
Mg: 0.0000 0.0824 0.0000 x4
Mg: 0.4960 0.2507 0.9997 x4
Hg: 0.4983 0.0848 0.5017 x4
Te: 0.1164 0.0839 0.3720 x4
Te: 0.1239 0.2462 0.8716 x4
Te: 0.1270 0.4143 0.3813 x4



(2)
The following is a DFT calculation (PBE) of crystalline Np2InAu6 at its relaxed geometry.

* total magnetization: 8.7 μB/f.u.
* crystal system: monoclinic
* DFT total energy: -49.6 eV per formula unit
* energy of formation: -0.14 eV per atom

Unit cell a=7.9347 b=8.4042 c=5.7901 alpha=90.00 beta=95.18 gamma=90.00
Space group C2/m (No. 12)
Asymmetric unit:
Np: 0.1581 0.0000 0.1572 x4
In: 0.0000 0.5000 0.5000 x2
Au: 0.0000 0.3339 0.0000 x4
Au: 0.1664 0.1673 0.6655 x8



(3)
The following is a DFT calculation (PBE) of crystalline CsBa2Tl6 at its relaxed geometry.

* total magnetization: 0.0 μB/f.u.
* crystal system: hexagonal
* DFT total energy: -20.9 eV per formula unit
* energy of formation: -0.22 eV per atom

Unit cell a=9.7618 b=9.7618 c=4.0395 alpha=90.00 beta=90.00 gamma=120.00
Space group P6/mmm (No. 191)
Asymmetric unit:
Cs: 0.0000 0.0000 0.0000 x1
Ba: 0.3333 0.6667 0.0000 x2
Tl: 0.0000 0.3387 0.5000 x6



(4)
The following is a DFT calculation (PBE) of crystalline TlZnMo2 at its relaxed geometry.

* total magnetization: 0.0 μB/f.u.
* crystal system: tetragonal
* DFT total energy: -23.1 eV per formula unit
* excess energy over the best structure of this formula in the dataset: 0.2068 eV/atom
* energy of formation: 0.54 eV per atom

Unit cell a=4.1011 b=4.1011 c=8.0996 alpha=90.00 beta=90.00 gamma=90.00
Space group I-4m2 (No. 119)
Asymmetric unit:
Tl: 0.0000 0.0000 0.0000 x2
Zn: 0.0000 0.5000 0.7500 x2
Mo: 0.0000 0.0000 0.5000 x2
Mo: 0.0000 0.5000 0.2500 x2



(5)
The following is a DFT calculation (PBE) of crystalline Sr2NiBiRh at its relaxed geometry.

* total magnetization: 1.7 μB/f.u.
* crystal system: tetragonal
* DFT total energy: -17.6 eV per formula unit
* energy of formation: 0.55 eV per atom

Unit cell a=6.2708 b=6.2708 c=4.7294 alpha=90.00 beta=90.00 gamma=90.00
Space group P4/mmm (No. 123)
Asymmetric unit:
Sr: 0.0000 0.5000 0.0000 x2
Ni: 0.0000 0.0000 0.5000 x1
Bi: 0.0000 0.0000 0.0000 x1
Rh: 0.5000 0.5000 0.5000 x1



(6)
The following is a DFT calculation (PBE) of crystalline SrTiPt at its relaxed geometry.

* total magnetization: 0.0 μB/f.u.
* crystal system: tetragonal
* DFT total energy: -17.6 eV per formula unit
* energy of formation: -0.67 eV per atom

Unit cell a=4.5144 b=4.5144 c=7.4144 alpha=90.00 beta=90.00 gamma=90.00
Space group P4/nmm (No. 129, origin choice 2)
Asymmetric unit:
Sr: 0.2500 0.2500 0.1502 x2
Ti: 0.2500 0.7500 0.5000 x2
Pt: 0.2500 0.2500 0.6683 x2



(7)
The following is a DFT calculation (PBE) of crystalline Ba2Na3 at its relaxed geometry.

* total magnetization: 0.5 μB/f.u.
* crystal system: trigonal
* DFT total energy: -6.5 eV per formula unit
* excess energy over the best structure of this formula in the dataset: 0.2261 eV/atom
* energy of formation: 0.25 eV per atom

Unit cell a=10.8061 b=10.8061 c=15.5632 alpha=90.00 beta=90.00 gamma=120.00
Space group R-3c (No. 167, hexagonal axes)
Asymmetric unit:
Ba: 0.0000 0.0000 0.1236 x12
Na: 0.0000 0.3165 0.2500 x18



(8)
The following is a DFT calculation (PBE) of crystalline HoTm2Ga at its relaxed geometry.

* total magnetization: 0.7 μB/f.u.
* crystal system: cubic
* DFT total energy: -16.8 eV per formula unit
* excess energy over the best structure of this formula in the dataset: 0.2305 eV/atom
* energy of formation: -0.06 eV per atom

Unit cell a=7.4375 b=7.4375 c=7.4375 alpha=90.00 beta=90.00 gamma=90.00
Space group Fm-3m (No. 225)
Asymmetric unit:
Ho: 0.0000 0.0000 0.0000 x4
Tm: 0.2500 0.2500 0.2500 x8
Ga: 0.0000 0.0000 0.5000 x4